(1)
Here is a geometry-optimized TcNi2F structure from the Alexandria database. Energies are from PBE+U.

Fermi-level density of states ... 2.4 states/eV/cell
Final energy ... -3.426 eV per atom
M_tot ... 1.25 μB per atom

Unit cell a=4.222 b=4.222 c=4.222 alpha=60.00 beta=60.00 gamma=60.00
Last column: magnetic moment on the atom in μB.
Atoms (fractional coordinates):
Ni 0.750 0.750 0.750  1.40
Ni 0.250 0.250 0.250  1.40
Tc 0.500 0.500 0.500  2.17
F 0.000 0.000 0.000  0.02

=====

(2)
Here is a geometry-optimized TcNiF3 structure from the Alexandria database. Energies are from PBE+U.

Fermi-level density of states ... 8.8 states/eV/cell
E above lowest polymorph ... 2.29 eV/f.u.
M_tot ... 0.71 μB per atom

Unit cell a=4.191 b=4.191 c=4.191 alpha=90.00 beta=90.00 gamma=90.00
Last column: magnetic moment on the atom in μB.
Atoms (fractional coordinates):
F 0.500 0.000 0.000  0.09
F 0.000 0.000 0.500  0.03
F 0.000 0.500 0.000  0.05
Tc 0.000 0.000 0.000  2.38
Ni 0.500 0.500 0.500  0.87

=====

(3)
Here is a geometry-optimized TlTcNiF6 structure from the Alexandria database. Energies are from PBE+U.

Fermi-level density of states ... 6.0 states/eV/cell
Final energy ... -4.893 eV per atom
M_tot ... 0.44 μB per atom

Unit cell a=7.436 b=7.401 c=7.432 alpha=119.86 beta=120.02 gamma=90.00
Last column: magnetic moment on the atom in μB.
Atoms (fractional coordinates):
Tl 0.917 0.667 0.834  0.00
Tl 0.083 0.333 0.166  0.00
F 0.414 0.664 0.828  0.03
F 0.415 0.671 0.242  0.05
F 0.827 0.071 0.242  0.05
F 0.173 0.929 0.758  0.05
F 0.586 0.336 0.172  0.03
F 0.585 0.329 0.758  0.05
F 0.818 0.068 0.636  0.05
F 0.415 0.071 0.242  0.05
F 0.827 0.671 0.242  0.05
F 0.585 0.929 0.758  0.05
F 0.173 0.329 0.758  0.05
F 0.182 0.932 0.364  0.05
Tc 0.500 0.500 0.000  1.72
Tc 0.500 0.000 0.000  1.72
Ni 0.000 0.000 0.500  1.83
Ni 0.500 0.000 0.500  1.83

=====

(4)
Here is a geometry-optimized NiTeF2 structure from the Alexandria database. Energies are from PBE+U.

Fermi-level density of states ... 1.1 states/eV/cell
E above lowest polymorph ... 0.00 eV/f.u.
M_tot ... 0.50 μB per atom

Unit cell a=9.473 b=9.473 c=9.473 alpha=19.02 beta=19.02 gamma=19.02
Last column: magnetic moment on the atom in μB.
Atoms (fractional coordinates):
Ni 0.500 0.500 0.500  1.82
Te 0.000 0.000 0.000  0.00
F 0.868 0.868 0.868  0.08
F 0.132 0.132 0.132  0.08

=====

(5)
Here is a geometry-optimized NiTe3F structure from the Alexandria database. Energies are from PBE+U.

Fermi-level density of states ... 2.7 states/eV/cell
E above lowest polymorph ... 0.00 eV/f.u.
M_tot ... 0.00 μB per atom

Unit cell a=4.916 b=4.916 c=4.916 alpha=90.00 beta=90.00 gamma=90.00
Atoms (fractional coordinates):
Te 0.000 0.000 0.500
Te 0.000 0.500 0.000
Te 0.500 0.000 0.000
Ni 0.000 0.000 0.000
F 0.500 0.500 0.500

=====

(6)
Here is a geometry-optimized NiTeF2 structure from the Alexandria database. Energies are from PBE+U.

Fermi-level density of states ... 2.5 states/eV/cell
E above lowest polymorph ... 1.86 eV/f.u.
M_tot ... 0.50 μB per atom

Unit cell a=5.763 b=5.763 c=6.370 alpha=63.11 beta=63.11 gamma=90.00
Last column: magnetic moment on the atom in μB.
Atoms (fractional coordinates):
F 0.375 0.613 0.750  0.05
F 0.387 0.125 0.250  0.06
F 0.875 0.637 0.750  0.05
F 0.363 0.625 0.250  0.05
Ni 0.250 0.750 0.500  1.85
Ni 0.500 0.500 0.000  1.85
Te 0.750 0.250 0.500  0.00
Te 0.000 0.000 0.000  0.00

=====

(7)
Here is a geometry-optimized NiTeF2 structure from the Alexandria database. Energies are from PBE+U.

Fermi-level density of states ... 1.1 states/eV/cell
E above lowest polymorph ... 4.44 eV/f.u.
M_tot ... 0.03 μB per atom

Unit cell a=4.409 b=4.409 c=4.409 alpha=60.00 beta=60.00 gamma=60.00
Last column: magnetic moment on the atom in μB.
Atoms (fractional coordinates):
Te 0.500 0.500 0.500  -0.60
F 0.750 0.750 0.750  -0.17
F 0.250 0.250 0.250  -0.17
Ni 0.000 0.000 0.000  1.47

=====

(8)
Here is a geometry-optimized NiTeF6 structure from the Alexandria database. Energies are from PBE+U.

Fermi-level density of states ... 0.0 states/eV/cell
Final energy ... -4.210 eV per atom
M_tot ... 0.25 μB per atom

Unit cell a=5.321 b=5.335 c=5.697 alpha=62.16 beta=62.09 gamma=59.98
Last column: magnetic moment on the atom in μB.
Atoms (fractional coordinates):
Te 0.500 0.500 0.500  0.02
F 0.370 0.756 0.753  0.02
F 0.244 0.879 0.247  0.02
F 0.121 0.370 0.754  0.02
F 0.756 0.121 0.753  0.02
F 0.630 0.244 0.247  0.02
F 0.879 0.630 0.246  0.02
Ni 0.000 0.000 0.000  1.83

=====

(9)
Here is a geometry-optimized Ni3TeF structure from the Alexandria database. Energies are from PBE+U.

Fermi-level density of states ... 0.0 states/eV/cell
E above lowest polymorph ... 5.04 eV/f.u.
M_tot ... 0.60 μB per atom

Unit cell a=4.807 b=4.807 c=4.807 alpha=90.00 beta=90.00 gamma=90.00
Last column: magnetic moment on the atom in μB.
Atoms (fractional coordinates):
Ni 0.000 0.000 0.500  0.73
Ni 0.500 0.000 0.000  1.41
Ni 0.000 0.500 0.000  1.01
F 0.500 0.500 0.500  0.01
Te 0.000 0.000 0.000  0.03

=====

(10)
Here is a geometry-optimized NiTe3F structure from the Alexandria database. Energies are from PBE+U.

Fermi-level density of states ... 8.0 states/eV/cell
E above lowest polymorph ... 2.10 eV/f.u.
M_tot ... 0.24 μB per atom

Unit cell a=4.896 b=4.896 c=4.896 alpha=90.00 beta=90.00 gamma=90.00
Last column: magnetic moment on the atom in μB.
Atoms (fractional coordinates):
Te 0.000 0.000 0.500  0.08
Te 0.500 0.000 0.000  0.06
Te 0.000 0.500 0.000  0.08
Ni 0.500 0.500 0.500  0.91
F 0.000 0.000 0.000  0.02

=====

(11)
Here is a geometry-optimized NiTeF structure from the Alexandria database. Energies are from PBE+U.

Fermi-level density of states ... 3.2 states/eV/cell
Final energy ... -3.356 eV per atom
M_tot ... 0.58 μB per atom

Unit cell a=5.665 b=6.104 c=6.803 alpha=90.70 beta=90.00 gamma=90.00
Last column: magnetic moment on the atom in μB.
Atoms (fractional coordinates):
Ni 0.750 0.377 0.695  1.66
Ni 0.250 0.623 0.305  1.66
Ni 0.750 0.877 0.695  1.66
Ni 0.250 0.123 0.305  1.66
Te 0.250 0.378 0.660  0.01
Te 0.250 0.878 0.660  0.01
Te 0.750 0.622 0.340  0.01
Te 0.750 0.122 0.340  0.01
F 0.750 0.130 0.875  0.06
F 0.250 0.370 0.125  0.06
F 0.750 0.630 0.875  0.06
F 0.250 0.870 0.125  0.06

=====

(12)
Here is a geometry-optimized Ni3TeF structure from the Alexandria database. Energies are from PBE+U.

Fermi-level density of states ... 0.5 states/eV/cell
E above lowest polymorph ... 0.00 eV/f.u.
M_tot ... 0.61 μB per atom

Unit cell a=4.244 b=4.244 c=4.244 alpha=90.00 beta=90.00 gamma=90.00
Last column: magnetic moment on the atom in μB.
Atoms (fractional coordinates):
Ni 0.000 0.000 0.500  0.99
Ni 0.500 0.000 0.000  0.98
Ni 0.000 0.500 0.000  0.99
F 0.000 0.000 0.000  0.04
Te 0.500 0.500 0.500  0.03

=====

(13)
Here is a geometry-optimized NiTeWF2 structure from the Alexandria database. Energies are from PBE+U.

Fermi-level density of states ... 1.8 states/eV/cell
Final energy ... -3.814 eV per atom
M_tot ... 0.62 μB per atom

Unit cell a=4.032 b=5.770 c=4.032 alpha=90.00 beta=90.00 gamma=90.00
Last column: magnetic moment on the atom in μB.
Atoms (fractional coordinates):
F 0.500 0.000 0.000  0.03
F 0.000 0.000 0.500  0.02
Te 0.000 0.500 0.000  -0.10
Ni 0.000 0.000 0.000  -0.78
W 0.500 0.500 0.500  3.42

=====

(14)
Here is a geometry-optimized TiNiF5 structure from the Alexandria database. Energies are from PBE+U.

Fermi-level density of states ... 1.9 states/eV/cell
Final energy ... -5.547 eV per atom
M_tot ... 0.43 μB per atom

Unit cell a=5.221 b=5.352 c=7.845 alpha=103.56 beta=114.54 gamma=76.31
Last column: magnetic moment on the atom in μB.
Atoms (fractional coordinates):
F 0.519 0.888 0.237  0.04
F 0.859 0.741 0.069  0.03
F 0.191 0.325 0.455  0.03
F 0.697 0.314 0.161  0.01
F 0.813 0.198 0.570  0.02
F 0.187 0.802 0.430  0.02
F 0.141 0.259 0.931  0.03
F 0.303 0.686 0.839  0.01
F 0.481 0.112 0.763  0.04
F 0.809 0.675 0.545  0.03
Ti 0.124 0.392 0.711  0.92
Ti 0.876 0.608 0.289  0.92
Ni 0.500 0.000 0.500  1.85
Ni 0.500 0.000 0.000  1.85

=====

(15)
Here is a geometry-optimized TiNi3F structure from the Alexandria database. Energies are from PBE+U.

Fermi-level density of states ... 2.3 states/eV/cell
E above lowest polymorph ... 3.41 eV/f.u.
M_tot ... 0.00 μB per atom

Unit cell a=4.300 b=4.300 c=4.300 alpha=90.00 beta=90.00 gamma=90.00
Atoms (fractional coordinates):
F 0.500 0.500 0.500
Ti 0.000 0.000 0.000
Ni 0.000 0.000 0.500
Ni 0.500 0.000 0.000
Ni 0.000 0.500 0.000

=====

(16)
Here is a geometry-optimized TiNi3F structure from the Alexandria database. Energies are from PBE+U.

Fermi-level density of states ... 5.3 states/eV/cell
E above lowest polymorph ... 0.00 eV/f.u.
M_tot ... 0.11 μB per atom

Unit cell a=3.958 b=3.958 c=3.958 alpha=90.00 beta=90.00 gamma=90.00
Last column: magnetic moment on the atom in μB.
Atoms (fractional coordinates):
Ni 0.000 0.500 0.000  0.01
Ni 0.500 0.000 0.000  0.06
Ni 0.000 0.000 0.500  0.00
Ti 0.500 0.500 0.500  0.36
F 0.000 0.000 0.000  0.01

=====

(17)
Here is a geometry-optimized TiNiF2 structure from the Alexandria database. Energies are from PBE+U.

Fermi-level density of states ... 1.5 states/eV/cell
Final energy ... -4.312 eV per atom
M_tot ... 0.00 μB per atom

Unit cell a=3.922 b=3.922 c=3.922 alpha=60.00 beta=60.00 gamma=60.00
Atoms (fractional coordinates):
F 0.250 0.250 0.250
F 0.750 0.750 0.750
Ni 0.500 0.500 0.500
Ti 0.000 0.000 0.000

=====

(18)
Here is a geometry-optimized Ti3NiF structure from the Alexandria database. Energies are from PBE+U.

Fermi-level density of states ... 6.2 states/eV/cell
E above lowest polymorph ... 0.00 eV/f.u.
M_tot ... 0.31 μB per atom

Unit cell a=4.109 b=4.109 c=4.109 alpha=90.00 beta=90.00 gamma=90.00
Last column: magnetic moment on the atom in μB.
Atoms (fractional coordinates):
Ti 0.500 0.000 0.000  0.48
Ti 0.000 0.000 0.500  0.21
Ti 0.000 0.500 0.000  0.34
Ni 0.500 0.500 0.500  0.47
F 0.000 0.000 0.000  0.01

=====

(19)
Here is a geometry-optimized TlNiF2 structure from the Alexandria database. Energies are from PBE+U.

Fermi-level density of states ... 20.5 states/eV/cell
E above lowest polymorph ... 3.45 eV/f.u.
M_tot ... 0.25 μB per atom

Unit cell a=4.416 b=4.416 c=4.416 alpha=60.00 beta=60.00 gamma=60.00
Last column: magnetic moment on the atom in μB.
Atoms (fractional coordinates):
Ni 0.000 0.000 0.000  1.00
Tl 0.500 0.500 0.500  -0.01
F 0.250 0.250 0.250  0.02
F 0.750 0.750 0.750  0.02

=====

(20)
Here is a geometry-optimized Tl3Ni2F7 structure from the Alexandria database. Energies are from PBE+U.

Fermi-level density of states ... 0.0 states/eV/cell
Final energy ... -4.086 eV per atom
M_tot ... 0.33 μB per atom

Unit cell a=4.094 b=4.124 c=11.713 alpha=100.14 beta=90.00 gamma=90.00
Last column: magnetic moment on the atom in μB.
Atoms (fractional coordinates):
F 0.000 0.000 0.000  0.04
F 0.000 0.408 0.816  0.04
F 0.500 0.908 0.816  0.04
F 0.000 0.823 0.645  0.03
F 0.000 0.592 0.184  0.04
F 0.000 0.177 0.355  0.03
F 0.500 0.092 0.184  0.04
Tl 0.500 0.683 0.365  0.00
Tl 0.500 0.317 0.635  0.00
Tl 0.500 0.500 0.000  0.00
Ni 0.000 0.091 0.182  1.84
Ni 0.000 0.909 0.818  1.84

=====

(21)
Here is a geometry-optimized TlNiF5 structure from the Alexandria database. Energies are from PBE+U.

Fermi-level density of states ... 0.0 states/eV/cell
Final energy ... -3.992 eV per atom
M_tot ... 0.29 μB per atom

Unit cell a=5.567 b=5.567 c=7.601 alpha=70.42 beta=70.42 gamma=72.51
Last column: magnetic moment on the atom in μB.
Atoms (fractional coordinates):
F 0.674 0.281 0.970  0.03
F 0.095 0.905 0.750  0.04
F 0.804 0.710 0.133  0.01
F 0.196 0.290 0.867  0.01
F 0.710 0.804 0.633  0.01
F 0.326 0.719 0.030  0.03
F 0.719 0.326 0.530  0.03
F 0.281 0.674 0.470  0.03
F 0.290 0.196 0.367  0.01
F 0.905 0.095 0.250  0.04
Tl 0.448 0.552 0.750  0.02
Tl 0.552 0.448 0.250  0.02
Ni 0.000 0.000 0.500  1.83
Ni 0.000 0.000 0.000  1.83

=====

(22)
Here is a geometry-optimized TlNiF6 structure from the Alexandria database. Energies are from PBE+U.

Fermi-level density of states ... 0.0 states/eV/cell
Final energy ... -3.717 eV per atom
M_tot ... 0.39 μB per atom

Unit cell a=4.999 b=4.999 c=5.159 alpha=96.90 beta=96.90 gamma=116.47
Last column: magnetic moment on the atom in μB.
Atoms (fractional coordinates):
Ni 0.500 0.500 0.500  2.29
F 0.442 0.140 0.260  0.12
F 0.140 0.442 0.260  0.12
F 0.860 0.558 0.740  0.12
F 0.558 0.860 0.740  0.12
F 0.249 0.249 0.706  0.12
F 0.751 0.751 0.294  0.12
Tl 0.000 0.000 0.000  0.01

=====

(23)
Here is a geometry-optimized Tl3NiF structure from the Alexandria database. Energies are from PBE+U.

Fermi-level density of states ... 2.3 states/eV/cell
E above lowest polymorph ... 1.69 eV/f.u.
M_tot ... 0.00 μB per atom

Unit cell a=5.091 b=5.091 c=5.091 alpha=90.00 beta=90.00 gamma=90.00
Atoms (fractional coordinates):
Tl 0.000 0.500 0.000
Tl 0.500 0.000 0.000
Tl 0.000 0.000 0.500
Ni 0.500 0.500 0.500
F 0.000 0.000 0.000

=====

(24)
Here is a geometry-optimized TlNiF2 structure from the Alexandria database. Energies are from PBE+U.

Fermi-level density of states ... 0.0 states/eV/cell
E above lowest polymorph ... 0.86 eV/f.u.
M_tot ... 0.25 μB per atom

Unit cell a=4.961 b=4.961 c=7.068 alpha=69.45 beta=69.45 gamma=90.00
Last column: magnetic moment on the atom in μB.
Atoms (fractional coordinates):
F 0.519 0.125 0.250  0.01
F 0.875 0.769 0.750  0.01
F 0.231 0.625 0.250  0.01
F 0.375 0.481 0.750  0.01
Tl 0.000 0.000 0.000  -0.01
Tl 0.750 0.250 0.500  -0.01
Ni 0.500 0.500 0.000  0.99
Ni 0.250 0.750 0.500  0.99

=====

(25)
Here is a geometry-optimized Tl2NiF11 structure from the Alexandria database. Energies are from PBE+U.

Fermi-level density of states ... 0.0 states/eV/cell
Final energy ... -3.420 eV per atom
M_tot ... 0.22 μB per atom

Unit cell a=9.169 b=8.322 c=7.712 alpha=75.01 beta=53.53 gamma=56.57
Last column: magnetic moment on the atom in μB.
Atoms (fractional coordinates):
F 0.927 0.689 0.548  0.11
F 0.060 0.899 0.625  0.02
F 0.350 0.831 0.985  0.09
F 0.336 0.189 0.048  0.11
F 0.500 0.500 0.500  0.03
F 0.916 0.399 0.125  0.02
F 0.940 0.101 0.375  0.02
F 0.521 0.361 0.701  0.01
F 0.333 0.331 0.485  0.09
F 0.479 0.639 0.299  0.01
F 0.664 0.811 0.952  0.11
F 0.704 0.496 0.835  0.12
F 0.650 0.169 0.015  0.09
F 0.084 0.601 0.875  0.02
F 0.535 0.004 0.665  0.12
F 0.667 0.669 0.515  0.09
F 0.073 0.311 0.452  0.11
F 0.296 0.504 0.165  0.12
F 0.465 0.996 0.335  0.12
F 0.917 0.861 0.201  0.01
F 0.083 0.139 0.799  0.01
F 0.000 0.000 0.000  0.03
Tl 0.236 0.284 0.823  0.01
Tl 0.843 0.216 0.677  0.01
Tl 0.157 0.784 0.323  0.01
Tl 0.764 0.716 0.177  0.01
Ni 0.643 0.750 0.750  2.31
Ni 0.357 0.250 0.250  2.31